1.
3
Lattice="0.000 3.702 3.702 3.702 0.000 3.702 3.702 3.702 0.000" Properties=species:S:1:pos:R:3 comment="PmThSb, relaxed, DFT GGA-PBE" m_tot_mub_per_cell=0.2 pbc="T T T"
Pm 3.702 3.702 3.702
Sb 1.851 1.851 1.851
Th 0.000 0.000 0.000

---

2.
22
Lattice="-4.414 -1.120 -1.264 -2.439 -4.029 0.384 -10.770 9.357 29.423" Properties=species:S:1:pos:R:3 comment="BiIr10, relaxed, DFT GGA-PBE" m_tot_mub_per_cell=0.0 pbc="T T T"
Bi -3.322 1.191 6.084
Bi -14.301 3.016 22.459
Ir -8.497 -2.029 6.599
Ir -6.703 -0.228 7.629
Ir -4.967 1.526 8.646
Ir -10.044 -1.828 8.809
Ir -8.276 -0.036 9.854
Ir -6.500 1.755 10.886
Ir -4.729 3.554 11.941
Ir -9.807 0.199 12.101
Ir -8.036 1.992 13.145
Ir -6.268 3.784 14.190
Ir -11.354 0.423 14.352
Ir -9.587 2.215 15.398
Ir -7.816 4.009 16.441
Ir -12.893 0.653 16.602
Ir -11.123 2.452 17.657
Ir -9.346 4.243 18.689
Ir -7.578 6.035 19.734
Ir -12.655 2.681 19.897
Ir -10.919 4.436 20.914
Ir -9.125 6.237 21.944

---

3.
# NaAgSnTe2S

Crystalline NaAgSnTe2S at its relaxed geometry (GGA-PBE, OQMD via LeMat-Bulk).

Cell and atoms, written as extended XYZ:
```
12
Lattice="2.160 -6.626 0.000 2.160 6.626 0.000 0.000 0.000 11.402" Properties=species:S:1:pos:R:3 pbc="T T T"
Ag 2.160 -1.007 2.850
Ag 2.160 1.007 8.551
Na 2.160 2.412 2.850
Na 2.160 -2.412 8.551
S 2.160 -6.153 2.850
S 2.160 6.153 8.551
Sn 0.000 0.000 0.000
Sn 0.000 0.000 5.701
Te 2.160 -2.115 0.295
Te 2.160 -2.115 5.406
Te 2.160 2.115 5.996
Te 2.160 2.115 11.107
```

---

4.
12
Lattice="-3.092 -2.914 7.323 -5.663 -4.462 4.438 8.600 -5.823 -4.542" Properties=species:S:1:pos:R:3 comment="LaPrINCl2, relaxed, DFT GGA-PBE" m_tot_mub_per_cell=0.0 pbc="T T T"
Cl 1.771 -1.977 -0.518
Cl -3.415 -8.058 7.366
Cl 3.259 -5.141 -0.147
Cl -1.927 -11.222 7.737
I -5.475 -4.873 7.494
I 5.319 -8.326 -0.274
La -5.699 -7.710 9.216
La 5.544 -5.489 -1.997
N -0.731 -5.196 3.439
N 0.575 -8.003 3.780
Pr -1.267 -6.998 4.883
Pr 1.112 -6.201 2.336

---

5.
8
Lattice="1.949 2.907 -2.232 -4.087 0.290 0.668 2.286 6.899 10.981" Properties=species:S:1:pos:R:3 comment="LiY2Ir, relaxed, DFT GGA-PBE" m_tot_mub_per_cell=0.0 pbc="T T T"
Ir 0.571 1.725 2.745
Ir 1.714 5.174 8.236
Li 0.509 3.759 1.480
Li -0.360 6.336 7.937
Y -1.806 1.974 0.994
Y -1.201 3.800 3.900
Y 1.349 6.296 5.518
Y 1.954 8.121 8.423

---

6.
8
Lattice="-0.239 0.514 4.341 -2.830 -3.331 0.239 6.794 -5.697 1.049" Properties=species:S:1:pos:R:3 comment="BaCoS2, relaxed, DFT GGA-PBE" m_tot_mub_per_cell=1.0 pbc="T T T"
Ba -0.270 -3.817 3.749
Ba 3.995 -4.697 1.880
Co -0.177 -1.199 1.236
Co 3.902 -7.315 4.393
S -0.887 -0.447 3.315
S -2.182 -2.370 1.264
S 1.545 -2.643 1.502
S 2.180 -5.871 4.127

---

Number 1: E_tot -5.799 eV/atom. Number 2: E_tot -8.351 eV/atom. Number 3: E_tot -3.440 eV/atom. Number 4: E_tot -5.819 eV/atom. Number 5: E_tot -6.222 eV/atom. Number 6: E_tot -5.444 eV/atom.